# La8Ge3Br4F, relaxed, DFT PBE-GGA
data_La8Ge3Br4F
_chemical_formula_sum 'La24 Ge9 Br12 F3'
_symmetry_space_group_name_H-M 'R -3 m'
_symmetry_Int_Tables_number 166
_symmetry_space_group_name_Hall '-R 3 2"'
_cell_length_a 8.5750
_cell_length_b 8.5750
_cell_length_c 22.0390
_cell_angle_alpha 90.00
_cell_angle_beta 90.00
_cell_angle_gamma 120.00
loop_
_atom_site_label
_atom_site_type_symbol
_atom_site_fract_x
_atom_site_fract_y
_atom_site_fract_z
La1 La 0.0000 0.0000 0.2416
La2 La 0.0110 0.5055 0.2380
Ge1 Ge 0.0000 0.5000 0.5000
Br1 Br 0.0000 0.0000 0.0000
Br2 Br 0.0000 0.5000 0.0000
F1 F 0.0000 0.0000 0.5000
# * E_form (uncorrected): -1.36 eV/atom
# * magnetic moment: 0.000 μB per formula unit
# * VASP energy: -5.2200 eV/atom
# * crystal system: trigonal